Below is a PBEsol-optimized structure of Pd, with properties calculated at the meta-GGA SCAN level.

Calculated values
The calculation puts the calculated volume at 14.5 A^3/atom. The value obtained for the energy of formation is 0.00 eV per formula unit. The total energy comes out at -32.774 eV per atom. For the size of the total moment, the calculation gives 0.44 Bohr magnetons per cell.

The structure in POSCAR format:
```
Pd
1.0
0.000 1.935 1.935
1.935 0.000 1.935
1.935 1.935 0.000
Pd
1
Direct
0.000 0.000 0.000
```